(1)
# LiNdIr

Crystalline LiNdIr at its relaxed geometry (PBE, Alexandria).

Energy above the lowest structure with this stoichiometry: 0.0967 eV per atom
Symmetry: P-6m2, No. 187
Crystal system: hexagonal

Cell lengths 4.390, 4.390, 3.619 Å; angles 90.00, 90.00, 120.00 degrees
Fractional coordinates of all 3 atoms:
Li1 0.000 0.000 0.000
Nd1 0.333 0.667 0.500
Ir1 0.667 0.333 0.000



(2)
# MgSiTcO6

Crystalline MgSiTcO6 at its relaxed geometry (PBE, Alexandria).

Uncorrected formation energy: -1.995 eV/atom
Symmetry: P-31c, No. 163
Crystal system: trigonal

Cell lengths 4.900, 4.900, 9.016 Å; angles 90.00, 90.00, 120.00 degrees
Fractional coordinates of all 18 atoms:
Mg1 0.000 0.000 0.000
Mg2 0.000 0.000 0.500
Si1 0.333 0.667 0.250
Si2 0.667 0.333 0.750
Tc1 0.333 0.667 0.750
Tc2 0.667 0.333 0.250
O1 0.022 0.369 0.139
O2 0.022 0.653 0.361
O3 0.347 0.369 0.361
O4 0.347 0.978 0.139
O5 0.369 0.022 0.639
O6 0.369 0.347 0.861
O7 0.631 0.653 0.139
O8 0.631 0.978 0.361
O9 0.653 0.022 0.861
O10 0.653 0.631 0.639
O11 0.978 0.347 0.639
O12 0.978 0.631 0.861



no.,total magnetization (μB/f.u.),V (A^3/atom)
1,0.00,20.135
2,1.01,10.413